This record from the Alexandria database describes a relaxed TiNbPb2O6 crystal. The functional is PBE-GGA.

## Properties
For the total energy, the calculation gives -7.615 eV per atom. Its size of the total moment is 0.00 μB per formula unit. Its raw formation energy is -2102 meV per atom. Its symmetry is P4mm, No. 99.

a = 4.068 Å, b = 5.736 Å, c = 5.736 Å
α = 90.00°, β = 90.00°, γ = 90.00°
Atoms (fractional coordinates):
Ti1 0.631 0.000 0.000
Nb1 0.645 0.500 0.500
Pb1 0.086 0.500 0.000
Pb2 0.086 0.000 0.500
O1 0.670 0.248 0.248
O2 0.670 0.248 0.752
O3 0.154 0.500 0.500
O4 0.165 0.000 0.000
O5 0.670 0.752 0.752
O6 0.670 0.752 0.248

---

This record from the Alexandria database describes a relaxed Zr2AlSi crystal. The functional is PBE-GGA.

## Properties
The value obtained for the energy above the most stable polymorph in this dataset is 176 meV per atom. For the total energy, the calculation gives -7.124 eV per atom. Its size of the total moment is 0.00 μB per formula unit. Its raw formation energy is -559 meV per atom. Its symmetry is C2, No. 5.

a = 5.516 Å, b = 8.618 Å, c = 6.832 Å
α = 90.00°, β = 110.13°, γ = 90.00°
Atoms (fractional coordinates):
Si1 0.437 0.222 0.310
Si2 0.563 0.222 0.690
Si3 0.437 0.722 0.810
Si4 0.563 0.722 0.190
Al1 0.940 0.528 0.307
Al2 0.060 0.528 0.693
Al3 0.940 0.028 0.807
Al4 0.060 0.028 0.193
Zr1 0.500 0.920 0.500
Zr2 0.500 0.420 0.000
Zr3 0.500 0.525 0.500
Zr4 0.500 0.025 0.000
Zr5 0.000 0.328 0.000
Zr6 0.000 0.828 0.500
Zr7 0.000 0.724 0.000
Zr8 0.000 0.224 0.500

---

This record from the Alexandria database describes a relaxed Sr2ZnCu2 crystal. The functional is PBE-GGA.

## Properties
For the total energy, the calculation gives -2.550 eV per atom. Its size of the total moment is 0.00 μB per formula unit. The formation energy comes out at 1.54 kJ/mol of atoms. Its symmetry is I4/mmm, No. 139.

a = 5.948 Å, b = 5.948 Å, c = 5.632 Å
α = 58.13°, β = 58.13°, γ = 90.00°
Atoms (fractional coordinates):
Sr1 0.750 0.250 0.500
Sr2 0.250 0.750 0.500
Zn1 0.000 0.000 0.000
Cu1 0.341 0.341 0.317
Cu2 0.659 0.659 0.683

---

This record from the Alexandria database describes a relaxed LiSbTe2Au crystal. The functional is PBE-GGA.

## Properties
The value obtained for the energy above the most stable polymorph in this dataset is 0 meV per atom. For the total energy, the calculation gives -2.883 eV per atom. Its size of the total moment is 0.00 μB per formula unit. Its raw formation energy is 237 meV per atom. Its symmetry is P4/mmm, No. 123.

a = 5.678 Å, b = 5.678 Å, c = 5.229 Å
α = 90.00°, β = 90.00°, γ = 90.00°
Atoms (fractional coordinates):
Sb1 0.000 0.000 0.500
Te1 0.000 0.500 0.000
Te2 0.500 0.000 0.000
Au1 0.000 0.000 0.000
Li1 0.500 0.500 0.500

---

This record from the Alexandria database describes a relaxed Ce2Zn15Ga2 crystal. The functional is PBE-GGA.

## Properties
For the total energy, the calculation gives -2.178 eV per atom. Its size of the total moment is 1.45 μB per formula unit. The formation energy comes out at -22.05 kJ/mol of atoms. Its symmetry is R-3m, No. 166.

a = 6.851 Å, b = 6.851 Å, c = 6.851 Å
α = 83.75°, β = 83.75°, γ = 83.75°
Last column: magnetic moment on the atom in μB.
Atoms (fractional coordinates):
Ce1 0.334 0.334 0.334  0.63
Ce2 0.666 0.666 0.666  0.63
Zn1 0.500 0.000 0.000  0.00
Zn2 0.000 0.000 0.500  0.00
Zn3 0.000 0.500 0.000  0.00
Zn4 0.000 0.696 0.304  0.00
Zn5 0.696 0.304 0.000  0.00
Zn6 0.304 0.000 0.696  0.00
Zn7 0.304 0.696 0.000  0.00
Zn8 0.696 0.000 0.304  0.00
Zn9 0.000 0.304 0.696  0.00
Zn10 0.166 0.649 0.649  0.00
Zn11 0.649 0.649 0.166  0.00
Zn12 0.649 0.166 0.649  0.00
Zn13 0.834 0.351 0.351  0.00
Zn14 0.351 0.351 0.834  0.00
Zn15 0.351 0.834 0.351  0.00
Ga1 0.100 0.100 0.100  0.00
Ga2 0.900 0.900 0.900  0.00

---

This record from the Alexandria database describes a relaxed KLa2TePt crystal. The functional is PBE-GGA.

## Properties
For the total energy, the calculation gives -4.464 eV per atom. Its size of the total moment is 0.00 μB per formula unit. Its raw formation energy is -437 meV per atom. Its symmetry is P4/mmm, No. 123.

a = 5.569 Å, b = 6.131 Å, c = 5.569 Å
α = 90.00°, β = 90.00°, γ = 90.00°
Atoms (fractional coordinates):
K1 0.500 0.500 0.500
Te1 0.000 0.500 0.000
Pt1 0.000 0.000 0.000
La1 0.000 0.000 0.500
La2 0.500 0.000 0.000